TaAlCd2 after structural relaxation. Source: Alexandria via LeMat-Bulk, functional PBE-GGA.

Output
V = 20.32 A^3/atom
energy relative to the elements = 0.572 eV per atom

a = 6.077 Å, b = 6.077 Å, c = 6.077 Å
α = 102.15°, β = 102.15°, γ = 125.39°
Element x y z (fractional)
Ta: 0.000 0.000 0.000
Ta: 0.750 0.250 0.500
Al: 0.250 0.750 0.500
Al: 0.500 0.500 0.000
Cd: 0.147 0.625 0.022
Cd: 0.375 0.397 0.522
Cd: 0.603 0.125 0.978
Cd: 0.875 0.853 0.478